NbWSe2F | PBE+U | optimized geometry

abc: 5.0152 3.9298 5.0152
angles: 90.00 90.00 90.00
Last column: nearest neighbours and their distance in Å.
Fractional positions:
Nb 0.5000 0.5000 0.5000  8 Se 3.19, 4 W 3.55
Se 0.0000 0.0000 0.5000  2 F 2.51
Se 0.5000 0.0000 0.0000  2 F 2.51
W 0.0000 0.5000 0.0000  2 F 1.96
F 0.0000 0.0000 0.0000  2 W 1.96

Calculated values
VASP energy = -4.802 eV/atom
total magnetization = 3.5 μB/cell
DOS(E_F) = 0.731 states/eV per atom
volume = 19.8 A^3/atom
theoretical density = 7621 kg/m3